PBE Tl2SbTeH, relaxed; N(E_F) = 2.17 states/eV/f.u.; magnetization = 0.00 μB/f.u.; E = -0.207 Ry per atom; SG = P4/mmm, No. 123
1.0
4.9727 0.0000 0.0000
0.0000 5.0952 0.0000
0.0000 0.0000 4.9727
Sb H Tl Te
1 1 2 1
Direct
0.5000 0.5000 0.5000 Sb
0.0000 0.0000 0.0000 H
0.0000 0.0000 0.5000 Tl
0.5000 0.0000 0.0000 Tl
0.0000 0.5000 0.0000 Te